# KFeHF6

A geometry-optimized KFeHF6 structure (GGA+U, Alexandria via LeMat-Bulk).

```
data_KFeHF6
_cell_length_a 5.509
_cell_length_b 5.905
_cell_length_c 5.171
_cell_angle_alpha 97.54
_cell_angle_beta 89.81
_cell_angle_gamma 48.29
_symmetry_space_group_name_H-M 'P 1'
_symmetry_Int_Tables_number 1
loop_
_symmetry_equiv_pos_as_xyz
'x,y,z'
loop_
_atom_site_label
_atom_site_type_symbol
_atom_site_fract_x
_atom_site_fract_y
_atom_site_fract_z
K1 K 0.131 0.941 0.987
Fe1 Fe 0.320 0.338 0.509
H1 H 0.700 0.704 0.459
F1 F 0.929 0.459 0.360
F2 F 0.458 0.948 0.563
F3 F 0.648 0.267 0.670
F4 F 0.067 0.516 0.817
F5 F 0.198 0.689 0.442
F6 F 0.549 0.137 0.193
```

- calculated total energy (eV per cell) = -39.33
- crystal system = triclinic
- size of the total moment (μB per atom) = 0.222